# Sr3Cr2

A geometry-optimized Sr3Cr2 structure (PBE, Alexandria).

abc: 13.574 13.574 13.574
angles: 17.36 17.36 17.36
Fractional positions:
Sr  0.000  0.000  0.000
Sr  0.212  0.212  0.212
Sr  0.788  0.788  0.788
Cr  0.395  0.395  0.395
Cr  0.605  0.605  0.605

Values from the calculation:
The magnetic moment comes out at 9.17 μB/cell. The calculation puts the energy at -4.04 eV/atom. For the excess energy over the best structure of this formula in the dataset, the calculation gives 136 meV/atom.

=====

# ZnSiTe2

A geometry-optimized ZnSiTe2 structure (PBE, Alexandria).

abc: 8.839 8.839 8.839
angles: 24.91 24.91 24.91
Fractional positions:
Zn  0.000  0.000  0.000
Si  0.264  0.264  0.264
Te  0.537  0.537  0.537
Te  0.727  0.727  0.727

Values from the calculation:
Its formation energy without anion corrections is 0.078 eV/atom. The magnetic moment comes out at 0.00 μB/cell. The calculation puts the energy at -3.17 eV/atom. For the excess energy over the best structure of this formula in the dataset, the calculation gives 83 meV/atom.

=====

# PaPd3

A geometry-optimized PaPd3 structure (PBE, Alexandria).

abc: 4.715 4.715 4.715
angles: 60.00 60.00 60.00
Fractional positions:
Pa  0.000  0.000  0.000
Pd  0.250  0.250  0.250
Pd  0.500  0.500  0.500
Pd  0.750  0.750  0.750

Values from the calculation:
The magnetic moment comes out at 0.00 μB/cell. The calculation puts the energy at -6.81 eV/atom. For the excess energy over the best structure of this formula in the dataset, the calculation gives 227 meV/atom.

=====

# TbTlPt

A geometry-optimized TbTlPt structure (PBE, Alexandria).

abc: 4.775 4.775 4.775
angles: 60.00 60.00 60.00
Fractional positions:
Tb  0.000  0.000  0.000
Tl  0.500  0.500  0.500
Pt  0.250  0.250  0.250

Values from the calculation:
The magnetic moment comes out at 0.00 μB/cell. The calculation puts the energy at -5.05 eV/atom.

=====

# PuFeCoCu

A geometry-optimized PuFeCoCu structure (PBE, Alexandria).

abc: 4.331 4.331 4.331
angles: 60.00 60.00 60.00
Fractional positions:
Pu  0.000  0.000  0.000
Fe  0.750  0.750  0.750
Co  0.250  0.250  0.250
Cu  0.500  0.500  0.500

Values from the calculation:
The magnetic moment comes out at 2.68 μB/cell. The calculation puts the energy at -8.40 eV/atom.

=====

# TiBBr3

A geometry-optimized TiBBr3 structure (PBE, Alexandria).

abc: 5.177 5.177 5.177
angles: 90.00 90.00 90.00
Fractional positions:
Ti  0.000  0.000  0.000
B  0.500  0.500  0.500
Br  0.000  0.000  0.500
Br  0.000  0.500  0.000
Br  0.500  0.000  0.000

Values from the calculation:
Its formation energy without anion corrections is 0.323 eV/atom. The magnetic moment comes out at 2.00 μB/cell. The calculation puts the energy at -3.60 eV/atom.

=====

# Nd2Th

A geometry-optimized Nd2Th structure (PBE, Alexandria).

abc: 9.098 9.098 9.098
angles: 23.20 23.20 23.20
Fractional positions:
Nd  0.226  0.226  0.226
Nd  0.774  0.774  0.774
Th  0.000  0.000  0.000

Values from the calculation:
The magnetic moment comes out at 0.00 μB/cell. The calculation puts the energy at -5.64 eV/atom. For the excess energy over the best structure of this formula in the dataset, the calculation gives 0 meV/atom.

=====

# CaSnHgBi

A geometry-optimized CaSnHgBi structure (PBE, Alexandria).

abc: 5.475 5.475 5.475
angles: 60.00 60.00 60.00
Fractional positions:
Ca  0.000  0.000  0.000
Sn  0.500  0.500  0.500
Hg  0.250  0.250  0.250
Bi  0.750  0.750  0.750

Values from the calculation:
The magnetic moment comes out at 0.00 μB/cell. The calculation puts the energy at -2.86 eV/atom. For the excess energy over the best structure of this formula in the dataset, the calculation gives 80 meV/atom.

=====

# Tb7Tl2Bi2

A geometry-optimized Tb7Tl2Bi2 structure (PBE, Alexandria).

abc: 6.965 6.965 7.746
angles: 90.07 90.07 74.11
Fractional positions:
Tb  0.000  0.000  0.000
Tb  0.000  0.499  0.286
Tb  0.000  0.501  0.714
Tb  0.499  0.000  0.286
Tb  0.500  0.500  0.274
Tb  0.500  0.500  0.726
Tb  0.501  0.000  0.714
Tl  0.179  0.821  0.500
Tl  0.821  0.179  0.500
Bi  0.286  0.286  0.000
Bi  0.714  0.714  0.000

Values from the calculation:
The magnetic moment comes out at 0.04 μB/cell. The calculation puts the energy at -4.23 eV/atom.

=====

# Ni3Pt6W

A geometry-optimized Ni3Pt6W structure (PBE, Alexandria).

abc: 7.030 7.030 7.030
angles: 106.02 106.02 106.02
Fractional positions:
Ni  0.111  0.378  0.248
Ni  0.248  0.111  0.378
Ni  0.378  0.248  0.111
Ni  0.622  0.752  0.889
Ni  0.752  0.889  0.622
Ni  0.889  0.622  0.752
Pt  0.047  0.326  0.861
Pt  0.139  0.953  0.674
Pt  0.204  0.567  0.648
Pt  0.326  0.861  0.047
Pt  0.352  0.796  0.433
Pt  0.433  0.352  0.796
Pt  0.567  0.648  0.204
Pt  0.648  0.204  0.567
Pt  0.674  0.139  0.953
Pt  0.796  0.433  0.352
Pt  0.861  0.047  0.326
Pt  0.953  0.674  0.139
W  0.000  0.000  0.000
W  0.500  0.500  0.500

Values from the calculation:
The magnetic moment comes out at 0.00 μB/cell. The calculation puts the energy at -6.70 eV/atom. For the excess energy over the best structure of this formula in the dataset, the calculation gives 0 meV/atom.

=====

# Ba2Li2Sn3

A geometry-optimized Ba2Li2Sn3 structure (PBE, Alexandria).

abc: 6.605 6.605 7.698
angles: 103.51 103.51 43.48
Fractional positions:
Ba  0.164  0.164  0.237
Ba  0.836  0.836  0.763
Li  0.094  0.094  0.697
Li  0.906  0.906  0.303
Sn  0.412  0.412  0.095
Sn  0.500  0.500  0.500
Sn  0.588  0.588  0.905

Values from the calculation:
The magnetic moment comes out at 0.00 μB/cell. The calculation puts the energy at -3.29 eV/atom.

=====

# RbHf2HOs

A geometry-optimized RbHf2HOs structure (PBE, Alexandria).

abc: 5.256 5.256 3.909
angles: 90.00 90.00 90.00
Fractional positions:
Rb  0.000  0.000  0.000
Hf  0.000  0.500  0.500
Hf  0.500  0.000  0.500
H  0.500  0.500  0.000
Os  0.500  0.500  0.500

Values from the calculation:
The magnetic moment comes out at 0.00 μB/cell. The calculation puts the energy at -6.06 eV/atom.

=====

# Ac8Nd5Tm

A geometry-optimized Ac8Nd5Tm structure (PBE, Alexandria).

abc: 9.149 9.149 9.766
angles: 122.16 122.16 80.04
Fractional positions:
Ac  0.052  0.052  0.353
Ac  0.214  0.564  0.724
Ac  0.265  0.224  0.194
Ac  0.389  0.204  0.850
Ac  0.436  0.786  0.276
Ac  0.776  0.735  0.806
Ac  0.796  0.611  0.150
Ac  0.948  0.948  0.647
Nd  0.036  0.427  0.911
Nd  0.286  0.714  0.500
Nd  0.573  0.964  0.089
Nd  0.586  0.287  0.627
Nd  0.713  0.414  0.373
Tm  0.819  0.181  0.000

Values from the calculation:
The magnetic moment comes out at 0.00 μB/cell. The calculation puts the energy at -4.19 eV/atom.

=====

# VFeSn

A geometry-optimized VFeSn structure (PBE, Alexandria).

abc: 5.276 5.276 5.276
angles: 146.16 146.16 48.61
Fractional positions:
V  0.000  0.000  0.000
Fe  0.373  0.373  0.000
Sn  0.694  0.694  0.000

Values from the calculation:
The magnetic moment comes out at 1.03 μB/cell. The calculation puts the energy at -7.09 eV/atom.

=====

# Tm5CdPb6

A geometry-optimized Tm5CdPb6 structure (PBE, Alexandria).

abc: 9.127 9.127 9.127
angles: 149.08 121.64 67.52
Fractional positions:
Tm  0.000  0.000  0.000
Tm  0.171  0.671  0.500
Tm  0.355  0.355  0.000
Tm  0.645  0.645  0.000
Tm  0.829  0.329  0.500
Cd  0.500  0.000  0.500
Pb  0.076  0.830  0.247
Pb  0.237  0.500  0.737
Pb  0.417  0.170  0.247
Pb  0.583  0.830  0.753
Pb  0.763  0.500  0.263
Pb  0.924  0.170  0.753

Values from the calculation:
The magnetic moment comes out at 0.00 μB/cell. The calculation puts the energy at -4.12 eV/atom.

=====

# SrReC2

A geometry-optimized SrReC2 structure (PBE, Alexandria).

abc: 4.186 4.186 4.186
angles: 60.00 60.00 60.00
Fractional positions:
Sr  0.000  0.000  0.000
Re  0.500  0.500  0.500
C  0.250  0.250  0.250
C  0.750  0.750  0.750

Values from the calculation:
The magnetic moment comes out at 0.73 μB/cell. The calculation puts the energy at -6.27 eV/atom. For the excess energy over the best structure of this formula in the dataset, the calculation gives 1556 meV/atom.

=====

# CrTeW2

A geometry-optimized CrTeW2 structure (PBE, Alexandria).

abc: 10.343 10.343 10.343
angles: 158.59 158.59 30.46
Fractional positions:
Cr  0.000  0.000  0.000
Cr  0.750  0.250  0.500
Te  0.250  0.750  0.500
Te  0.500  0.500  0.000
W  0.113  0.625  0.988
W  0.375  0.363  0.488
W  0.637  0.125  0.012
W  0.875  0.887  0.512

Values from the calculation:
Its formation energy without anion corrections is 0.915 eV/atom. The magnetic moment comes out at 6.55 μB/cell. The calculation puts the energy at -8.75 eV/atom.

=====

# GaTeI2O

A geometry-optimized GaTeI2O structure (PBE, Alexandria).

abc: 6.270 6.270 4.107
angles: 90.00 90.00 90.00
Fractional positions:
Ga  0.000  0.000  0.000
Te  0.500  0.500  0.500
I  0.000  0.500  0.500
I  0.500  0.000  0.500
O  0.500  0.500  0.000

Values from the calculation:
Its formation energy without anion corrections is -0.239 eV/atom. The magnetic moment comes out at 0.00 μB/cell. The calculation puts the energy at -3.08 eV/atom. For the excess energy over the best structure of this formula in the dataset, the calculation gives 0 meV/atom.

=====

# Ba5TbBi5

A geometry-optimized Ba5TbBi5 structure (PBE, Alexandria).

abc: 8.908 8.908 9.602
angles: 106.78 106.78 46.11
Fractional positions:
Ba  0.000  0.000  0.000
Ba  0.313  0.313  0.181
Ba  0.329  0.329  0.659
Ba  0.671  0.671  0.341
Ba  0.687  0.687  0.819
Tb  0.000  0.000  0.500
Bi  0.146  0.146  0.348
Bi  0.154  0.154  0.816
Bi  0.500  0.500  0.500
Bi  0.846  0.846  0.184
Bi  0.854  0.854  0.652

Values from the calculation:
The magnetic moment comes out at 0.00 μB/cell. The calculation puts the energy at -3.79 eV/atom.

=====

# Be3Tl

A geometry-optimized Be3Tl structure (PBE, Alexandria).

abc: 3.132 3.925 4.764
angles: 90.00 103.17 90.00
Fractional positions:
Be  0.000  0.000  0.000
Be  0.287  0.500  0.170
Be  0.713  0.500  0.830
Tl  0.500  0.000  0.500

Values from the calculation:
The magnetic moment comes out at 0.00 μB/cell. The calculation puts the energy at -2.76 eV/atom. For the excess energy over the best structure of this formula in the dataset, the calculation gives 273 meV/atom.